Computed, not measured: a relaxed Li2DyPuAu4 crystal at the GGA-PBE level of DFT.

extended XYZ file:
```
8
Lattice="-3.451 -2.989 -0.037 0.670 -4.277 1.449 -3.224 0.124 9.049" Properties=species:S:1:pos:R:3 pbc="T T T"
Au -2.447 -0.737 6.146
Au -3.752 -2.740 8.030
Au -2.253 -4.402 2.432
Au -3.558 -6.405 4.315
Li -1.516 -1.769 2.672
Pu 0.000 0.000 0.000
Li -4.489 -5.373 7.790
Dy -3.002 -3.571 5.231
```

**SG**: No. 166
**Total magnetization**: 0.736 μB per atom
**Energy of formation**: -0.5811 eV/atom
**DFT total energy**: -5.065 eV per atom

Computed, not measured: a relaxed Li5ZnAu3 crystal at the GGA-PBE level of DFT.

extended XYZ file:
```
18
Lattice="-0.907 -3.957 -3.515 5.013 -4.535 3.812 -7.508 -0.016 1.955" Properties=species:S:1:pos:R:3 pbc="T T T"
Au 2.236 -5.530 3.597
Au 2.630 -5.962 -0.120
Li 3.154 -4.048 1.692
Au -1.527 -4.514 -0.678
Li -3.334 -1.523 2.574
Li 0.839 -3.029 3.193
Li -2.362 -6.038 1.253
Au -1.874 -3.994 2.929
Li -1.039 -2.471 0.998
Zn -0.453 -1.979 -1.758
Au 1.477 -2.530 0.416
Zn 0.000 0.000 0.000
Li -3.788 -3.501 0.816
Li 0.952 -4.444 -1.395
Li 0.386 -5.007 1.435
Au -5.637 -2.979 -1.346
Li -0.277 -5.535 4.251
Li -3.124 -2.973 -2.000
```

**SG**: No. 193
**Total magnetization**: 0.000 μB per atom
**Energy of formation**: -0.4294 eV/atom
**DFT total energy**: -2.727 eV per atom

Computed, not measured: a relaxed KPb2Cl6 crystal at the GGA-PBE level of DFT.

extended XYZ file:
```
18
Lattice="6.843 0.000 0.000 0.000 6.843 0.000 0.000 0.000 13.240" Properties=species:S:1:pos:R:3 pbc="T T T"
Cl 5.405 1.438 9.050
Cl 5.614 1.229 0.000
Cl 1.983 1.983 10.811
Cl 4.651 4.651 6.620
Pb 3.422 3.422 4.389
K 0.000 0.000 6.620
Cl 4.860 4.860 10.811
Cl 1.983 1.983 2.430
Cl 1.438 5.405 9.050
Cl 1.229 5.614 0.000
Pb 0.000 0.000 2.231
Cl 1.438 5.405 4.191
Pb 3.422 3.422 8.851
Cl 5.405 1.438 4.191
Cl 2.192 2.192 6.620
Pb 0.000 0.000 11.010
Cl 4.860 4.860 2.430
K 3.422 3.422 0.000
```

**Formation energy without anion corrections**: -1.18 eV/atom
**SG**: No. 136
**Total magnetization**: 0.000 μB per atom
**DFT total energy**: -3.354 eV per atom

Computed, not measured: a relaxed Rb2TlZnHg crystal at the GGA-PBE level of DFT.

extended XYZ file:
```
5
Lattice="-2.160 -4.214 -4.977 4.218 -4.901 2.319 -3.866 -1.808 3.209" Properties=species:S:1:pos:R:3 pbc="T T T"
Zn 0.000 0.000 0.000
Rb -1.080 -2.107 -2.488
Tl -1.933 -0.904 1.605
Hg -0.904 -5.462 0.276
Rb 2.109 -2.451 1.160
```

**SG**: No. 123
**Total magnetization**: 0.000 μB per atom
**Energy of formation**: 0.0737 eV/atom
**DFT total energy**: -1.102 eV per atom

Computed, not measured: a relaxed Tm2Cu12Ni3Ge crystal at the GGA-PBE level of DFT.

extended XYZ file:
```
18
Lattice="6.145 -1.292 -0.916 1.911 5.981 -0.916 1.911 1.113 5.948" Properties=species:S:1:pos:R:3 pbc="T T T"
Cu 6.856 1.913 1.357
Tm 2.532 1.474 1.046
Cu 3.111 3.889 2.758
Ni 0.956 0.556 2.974
Cu 6.978 1.524 3.770
Ni 3.072 -0.646 -0.458
Cu 5.049 2.939 4.286
Cu 4.918 0.785 2.758
Ge 0.000 0.000 0.000
Tm 7.435 4.328 3.070
Cu 4.918 2.863 -0.171
Cu 2.989 4.277 0.345
Cu 5.049 5.017 1.357
Cu 5.195 0.487 0.345
Ni 0.956 2.991 -0.458
Cu 2.989 1.740 3.923
Cu 4.772 5.315 3.770
Cu 6.978 4.062 0.193
```

**SG**: No. 166
**Total magnetization**: 0.000 μB per atom
**Energy of formation**: -0.0158 eV/atom
**DFT total energy**: -4.464 eV per atom

Computed, not measured: a relaxed Nd5TmSc2 crystal at the GGA-PBE level of DFT.

extended XYZ file:
```
16
Lattice="-6.556 5.859 2.177 -6.243 -5.980 -2.705 6.182 -2.342 6.076" Properties=species:S:1:pos:R:3 pbc="T T T"
Nd 0.000 0.000 0.000
Tm -6.508 -1.261 2.642
Nd -3.222 -6.402 1.868
Nd -3.394 3.940 3.681
Nd -5.113 -3.776 0.428
Sc -9.631 1.145 0.113
Tm -0.109 -1.201 2.906
Sc -3.167 -1.266 -0.642
Nd -5.348 1.278 4.962
Sc -5.142 2.912 1.011
Nd -3.300 0.383 2.214
Nd -3.316 -2.845 3.334
Nd -6.399 -0.060 -0.264
Nd -1.268 -3.740 0.586
Nd -1.503 1.314 5.121
Sc -7.657 -3.033 -1.539
```

**Energy above the most stable polymorph in this dataset**: 4 meV per atom
**SG**: No. 140
**Total magnetization**: 0.002 μB per atom
**Energy of formation**: 0.1364 eV/atom
**DFT total energy**: -4.985 eV per atom

Computed, not measured: a relaxed CeInSi2Ir5 crystal at the GGA-PBE level of DFT.

extended XYZ file:
```
9
Lattice="-3.751 -0.110 -1.238 1.209 -1.240 -3.552 -0.821 -10.626 3.429" Properties=species:S:1:pos:R:3 pbc="T T T"
Si -1.508 -3.744 -1.405
Ir -2.553 -8.820 2.210
In 0.000 0.000 0.000
Si -1.855 -8.231 0.043
Ir -0.073 -9.385 1.052
Ir -2.019 -1.916 -0.019
Ir -1.682 -5.988 -0.681
Ce -0.410 -5.313 1.715
Ir 0.461 -2.481 -1.176
```

**Formation energy without anion corrections**: -0.32 eV/atom
**SG**: No. 123
**Total magnetization**: 0.045 μB per atom
**DFT total energy**: -7.415 eV per atom

Computed, not measured: a relaxed CdHg2PCl crystal at the GGA-PBE level of DFT.

extended XYZ file:
```
5
Lattice="5.265 0.000 0.000 0.000 5.097 0.000 0.000 0.000 5.265" Properties=species:S:1:pos:R:3 pbc="T T T"
Cd 0.000 2.548 0.000
Hg 2.632 0.000 0.000
Hg 0.000 0.000 2.632
P 0.000 0.000 0.000
Cl 2.632 2.548 2.632
```

**Formation energy without anion corrections**: -0.07 eV/atom
**SG**: No. 123
**Total magnetization**: 0.000 μB per atom
**DFT total energy**: -1.825 eV per atom

V? In order: 20.8; 15.6; 34.4; 50.4; 13.9; 32.3; 19.4; 28.3 A^3/atom.